A relaxed structure of FeCo2Ni, computed with PBEsol.

abc: 2.444 2.444 7.071
angles: 90.00 90.00 90.00
Element x y z (fractional)
1 Fe 0.000 0.000 0.000
2 Co 0.500 0.500 0.254
3 Co 0.500 0.500 0.746
4 Ni 0.000 0.000 0.500

The calculation puts the energy above the most stable polymorph in this dataset at 52.1 meV/atom. The formation energy is 37 meV per atom.

=====

A relaxed structure of FeCo2Ni, computed with PBEsol.

abc: 2.461 3.475 4.940
angles: 90.00 90.00 90.00
Element x y z (fractional)
1 Fe 0.000 0.000 0.000
2 Co 0.000 0.000 0.505
3 Co 0.500 0.500 0.742
4 Ni 0.500 0.500 0.251

The calculation puts the energy above the most stable polymorph in this dataset at 16.4 meV/atom. The formation energy is 1 meV per atom.

=====

A relaxed structure of FeCoNi, computed with PBEsol.

abc: 3.938 3.938 2.397
angles: 90.00 90.00 120.00
Element x y z (fractional)
1 Fe 0.000 0.000 0.000
2 Co 0.333 0.667 0.264
3 Ni 0.667 0.333 0.676

The calculation puts the energy above the most stable polymorph in this dataset at 39.5 meV/atom. The formation energy is 55 meV per atom.

=====

A relaxed structure of Sr4Fe2CoNiO12, computed with PBEsol.

abc: 9.261 9.261 9.261
angles: 33.53 33.53 33.53
Element x y z (fractional)
1 Sr 0.000 0.000 0.000
2 Sr 0.249 0.249 0.249
3 Sr 0.498 0.498 0.498
4 Sr 0.750 0.750 0.750
5 Fe 0.625 0.625 0.625
6 Fe 0.873 0.873 0.873
7 Co 0.375 0.375 0.375
8 Ni 0.124 0.124 0.124
9 O 0.249 0.249 0.748
10 O 0.249 0.748 0.249
11 O 0.249 0.749 0.749
12 O 0.499 0.499 0.996
13 O 0.499 0.996 0.499
14 O 0.504 0.998 0.998
15 O 0.748 0.249 0.249
16 O 0.749 0.249 0.749
17 O 0.749 0.749 0.249
18 O 0.996 0.499 0.499
19 O 0.998 0.504 0.998
20 O 0.998 0.998 0.504

As for the raw formation energy: -1.86 eV per atom.

=====

A relaxed structure of Fe2CoO4, computed with PBEsol.

abc: 5.659 5.659 5.659
angles: 60.00 60.00 60.00
Element x y z (fractional)
1 Fe 0.000 0.000 0.000
2 Fe 0.000 0.000 0.500
3 Fe 0.000 0.500 0.000
4 Fe 0.500 0.000 0.000
5 Co 0.375 0.375 0.375
6 Co 0.625 0.625 0.625
7 O 0.217 0.761 0.761
8 O 0.239 0.239 0.239
9 O 0.239 0.239 0.783
10 O 0.239 0.783 0.239
11 O 0.761 0.217 0.761
12 O 0.761 0.761 0.217
13 O 0.761 0.761 0.761
14 O 0.783 0.239 0.239

As for the raw formation energy: -1.11 eV per atom.

=====

A relaxed structure of FeCo2O4, computed with PBEsol.

abc: 5.669 5.669 5.669
angles: 121.55 119.63 88.99
Element x y z (fractional)
1 Fe 0.500 0.000 0.000
2 Fe 0.500 0.500 0.500
3 Co 0.000 0.000 0.000
4 Co 0.123 0.373 0.750
5 Co 0.500 0.000 0.500
6 Co 0.877 0.627 0.250
7 O 0.255 0.236 0.019
8 O 0.264 0.243 0.479
9 O 0.264 0.786 0.021
10 O 0.283 0.764 0.519
11 O 0.717 0.236 0.481
12 O 0.736 0.214 0.979
13 O 0.736 0.757 0.521
14 O 0.745 0.764 0.981

As for the raw formation energy: -1.06 eV per atom.

=====

Volume, record by record: 10.56 10.56 10.73 10.80 9.15 9.12 Å³/atom
D(E_F), record by record: 4.46 3.13 3.11 9.19 6.26 5.92 states/eV/f.u.
Final energy, record by record: -7.612 -7.648 -7.565 -6.972 -7.772 -7.546 eV/atom